[1]
VASP calculation (PBE-GGA) on an optimized crystal structure of YBeRu2.

Symmetry   No. 12
Size of the total moment   0.000 Bohr magnetons per cell
Energy of formation from the pure elements   -18.5 meV per atom
N(E_F)   4.18 states/eV/f.u.

Geometry as POSCAR:
```
YBeRu2
1.0
8.446 0.000 0.000
0.000 3.132 0.000
-1.747 0.000 4.831
Y Be Ru
2 2 4
Cartesian
0.000 0.000 0.000
4.223 1.566 0.000
-0.873 1.566 2.415
3.350 0.000 2.415
0.647 0.000 3.273
1.829 1.566 1.558
4.870 1.566 3.273
6.052 0.000 1.558
```

[2]
VASP calculation (PBE-GGA) on an optimized crystal structure of YBe17Ru.

Symmetry   No. 160
Size of the total moment   0.000 Bohr magnetons per cell
Energy of formation from the pure elements   -110.7 meV per atom
N(E_F)   6.21 states/eV/f.u.

Geometry as POSCAR:
```
YBe17Ru
1.0
3.744 2.162 3.628
-3.744 2.162 3.628
0.000 -4.323 3.628
Y Be Ru
1 17 1
Cartesian
0.000 0.000 0.000
0.000 -2.084 1.857
-1.805 1.042 1.857
-1.904 -1.099 5.359
0.000 -2.053 5.187
-1.778 1.027 5.187
-1.046 -1.921 7.162
-2.187 0.055 7.162
1.805 1.042 1.857
0.000 0.000 6.060
1.046 -1.921 7.162
-1.141 1.866 7.162
1.904 -1.099 5.359
0.000 2.199 5.359
0.000 0.000 8.167
1.778 1.027 5.187
2.187 0.055 7.162
1.141 1.866 7.162
0.000 0.000 3.611
```